1.
DFT (PBE) results for a geometry-optimized DyHo3Tm4 structure.

Unit cell a=11.077 b=7.168 c=6.198 alpha=90.00 beta=90.00 gamma=90.00
Fractional coordinates of all 16 atoms:
Dy (0.000, 0.126, 0.000)
Dy (0.500, 0.874, 0.500)
Ho (0.000, 0.874, 0.499)
Ho (0.250, 0.126, 0.333)
Ho (0.250, 0.874, 0.833)
Ho (0.500, 0.126, 0.999)
Ho (0.750, 0.126, 0.333)
Ho (0.750, 0.874, 0.833)
Tm (0.000, 0.376, 0.500)
Tm (0.000, 0.624, 0.000)
Tm (0.250, 0.376, 0.833)
Tm (0.250, 0.624, 0.333)
Tm (0.500, 0.376, 0.500)
Tm (0.500, 0.624, 0.000)
Tm (0.750, 0.376, 0.833)
Tm (0.750, 0.624, 0.333)

Output
ΔE_f = -1 meV/atom
Theoretical density = 9.0 g/cm3
Final energy = -4.528 eV per atom
SG = Pmn2_1 (31)
Energy relative to the lowest polymorph listed for this composition = 0 meV per atom


2.
DFT (PBE) results for a geometry-optimized YHo6Sc3 structure.

Unit cell a=11.190 b=11.190 c=6.204 alpha=90.00 beta=90.00 gamma=130.64
Fractional coordinates of all 20 atoms:
Y (0.158, 0.842, 0.500)
Y (0.842, 0.158, 0.000)
Ho (0.014, 0.986, 0.721)
Ho (0.104, 0.541, 0.187)
Ho (0.263, 0.377, 0.931)
Ho (0.303, 0.697, 0.720)
Ho (0.377, 0.263, 0.431)
Ho (0.459, 0.896, 0.187)
Ho (0.541, 0.104, 0.687)
Ho (0.623, 0.737, 0.931)
Ho (0.697, 0.303, 0.220)
Ho (0.737, 0.623, 0.431)
Ho (0.896, 0.459, 0.687)
Ho (0.986, 0.014, 0.221)
Sc (0.042, 0.294, 0.526)
Sc (0.294, 0.042, 0.026)
Sc (0.417, 0.583, 0.409)
Sc (0.583, 0.417, 0.909)
Sc (0.706, 0.958, 0.526)
Sc (0.958, 0.706, 0.026)

Output
ΔE_f = 128 meV/atom
Theoretical density = 6.8 g/cm3
Final energy = -5.164 eV per atom
SG = Cmc2_1 (36)


3.
DFT (PBE) results for a geometry-optimized SnPb2Au structure.

Unit cell a=4.770 b=4.770 c=18.026 alpha=90.00 beta=90.00 gamma=120.00
Fractional coordinates of all 12 atoms:
Sn (0.000, 0.000, 0.000)
Sn (0.333, 0.667, 0.667)
Sn (0.667, 0.333, 0.333)
Pb (0.000, 0.000, 0.569)
Pb (0.000, 0.000, 0.761)
Pb (0.333, 0.667, 0.236)
Pb (0.333, 0.667, 0.428)
Pb (0.667, 0.333, 0.095)
Pb (0.667, 0.333, 0.903)
Au (0.000, 0.000, 0.165)
Au (0.333, 0.667, 0.831)
Au (0.667, 0.333, 0.498)

Output
ΔE_f = 36 meV/atom
Theoretical density = 10.2 g/cm3
Final energy = -3.638 eV per atom
SG = R3m (160)